# PuCr2AsO8

PuCr2AsO8 after structural relaxation (PBE with a Hubbard U, the Alexandria database).

Properties
* uncorrected energy: -8.034 eV/atom
* total moment: 9.0 μB per cell
* SG: Cmmm (65)

Unit cell a=4.585 b=4.583 c=6.401 alpha=90.00 beta=90.00 gamma=90.64
Fractional positions:
Pu 0.000 0.000 0.500
Cr 0.500 0.500 0.767
Cr 0.500 0.500 0.233
As 0.000 0.000 0.000
O 0.191 0.809 0.219
O 0.706 0.707 0.000
O 0.809 0.191 0.219
O 0.809 0.191 0.781
O 0.294 0.293 0.000
O 0.191 0.809 0.781
O 0.684 0.685 0.500
O 0.316 0.315 0.500